Here is an optimized crystal structure of K3Ba3MoO8 from the Alexandria database. Energies are from PBE with a Hubbard U.

Symmetry   C2/m
D(E_F)   0.995 states/eV per atom
Total energy   -5.653 eV per atom
Total moment   1.03 μB/cell
V   313.0 Å³ per cell

Lattice parameters (Å, degrees): 7.568 7.574 7.667 119.57 90.04 119.94
Fractional positions:
1 O 0.740 0.481 0.721
2 O 0.191 0.007 0.323
3 O 0.184 0.993 0.677
4 Mo 0.000 0.000 0.500
5 Ba 0.000 0.500 0.500
6 Ba 0.500 0.000 0.500
7 K 0.000 0.500 0.000
8 K 0.500 0.500 0.000
9 O 0.809 0.993 0.677
10 O 0.184 0.368 0.677
11 K 0.000 0.000 0.000
12 O 0.260 0.519 0.279
13 O 0.816 0.007 0.323
14 Ba 0.500 0.500 0.500
15 O 0.816 0.632 0.323